1.
The following is a DFT calculation (GGA-PBEsol) of a relaxed structure of LiCd2GaPd.

Calculated values
calculated formation energy	14	kJ/mol of atoms
Fermi-level density of states	1.9	states/eV per cell

Geometry as CIF:
```
data_LiCd2GaPd
_cell_length_a 5.1019
_cell_length_b 5.1019
_cell_length_c 4.5336
_cell_angle_alpha 90.00
_cell_angle_beta 90.00
_cell_angle_gamma 90.00
_symmetry_space_group_name_H-M 'P 4/m m m'
_symmetry_Int_Tables_number 123
_symmetry_space_group_name_Hall '-P 4 2'
loop_
_atom_site_label
_atom_site_type_symbol
_atom_site_fract_x
_atom_site_fract_y
_atom_site_fract_z
Li1 Li 0.0000 0.0000 0.0000
Cd1 Cd 0.0000 0.5000 0.5000
Ga1 Ga 0.5000 0.5000 0.0000
Pd1 Pd 0.0000 0.0000 0.5000
```

***

2.
The following is a DFT calculation (GGA-PBEsol) of a relaxed structure of Na2HfFe.

Calculated values
calculated formation energy	129	kJ/mol of atoms
Fermi-level density of states	18.5	states/eV per cell

Geometry as CIF:
```
data_Na2HfFe
_cell_length_a 6.8528
_cell_length_b 6.8528
_cell_length_c 6.8528
_cell_angle_alpha 90.00
_cell_angle_beta 90.00
_cell_angle_gamma 90.00
_symmetry_space_group_name_H-M 'F m -3 m'
_symmetry_Int_Tables_number 225
_symmetry_space_group_name_Hall '-F 4 2 3'
loop_
_atom_site_label
_atom_site_type_symbol
_atom_site_fract_x
_atom_site_fract_y
_atom_site_fract_z
Na1 Na 0.2500 0.2500 0.2500
Hf1 Hf 0.0000 0.0000 0.0000
Fe1 Fe 0.0000 0.0000 0.5000
```

***

These records have total DFT energy (no corrections) values of -12.9 -67.8 eV per cell, in the order they appear.
These records have density values of 5.74 5.79 g cm⁻³, in the order they appear.
These records have spin magnetization values of 0.0 2.2 μB/f.u., in the order they appear.